## ZrGa2Te4 (PBE)

Data for an optimized crystal structure of ZrGa2Te4.

Summary:
Formation energy (no corrections), kJ/mol of atoms: -19.6
Magnetization, μB/atom: 0.20
Energy relative to the lowest polymorph listed for this composition, eV/f.u.: 0.00
E_tot, eV/cell: -28.59

Geometry as POSCAR:
```
ZrGa2Te4
1.0
-4.0376 4.0376 3.5322
4.0376 -4.0376 3.5322
4.0376 4.0376 -3.5322
Zr Ga Te
1 2 4
Direct
0.0000 0.0000 0.0000
0.2500 0.7500 0.5000
0.7500 0.2500 0.5000
0.1802 0.6857 0.8658
0.3143 0.1802 0.4945
0.6857 0.8198 0.5055
0.8198 0.3143 0.1342
```

---

## ZrGaTe2 (PBE)

Data for an optimized crystal structure of ZrGaTe2.

Summary:
Formation energy (no corrections), kJ/mol of atoms: -44.6
Magnetization, μB/atom: 0.00
E_tot, eV/cell: -19.71

Geometry as POSCAR:
```
ZrGaTe2
1.0
1.9428 1.1217 9.9323
-1.9428 1.1217 9.9323
0.0000 -2.2434 9.9323
Zr Ga Te
1 1 2
Direct
0.0000 0.0000 0.0000
0.5000 0.5000 0.5000
0.3952 0.3952 0.3952
0.6048 0.6048 0.6048
```

---

## Zr2Ga2Te (PBE)

Data for an optimized crystal structure of Zr2Ga2Te.

Summary:
Formation energy (no corrections), kJ/mol of atoms: -32.1
Magnetization, μB/atom: 0.00
Energy relative to the lowest polymorph listed for this composition, eV/f.u.: 0.58
E_tot, eV/cell: -55.91

Geometry as POSCAR:
```
Zr2Ga2Te
1.0
7.4403 0.0000 0.0000
0.0000 7.4403 0.0000
0.0000 0.0000 3.7480
Zr Ga Te
4 4 2
Direct
0.1859 0.3141 0.0000
0.3141 0.8141 0.0000
0.6859 0.1859 0.0000
0.8141 0.6859 0.0000
0.1161 0.6161 0.5000
0.3839 0.1161 0.5000
0.6161 0.8839 0.5000
0.8839 0.3839 0.5000
0.0000 0.0000 0.5000
0.5000 0.5000 0.5000
```

---

## ZrGaTe2 (PBE)

Data for an optimized crystal structure of ZrGaTe2.

Summary:
Formation energy (no corrections), kJ/mol of atoms: -20.3
Magnetization, μB/atom: 0.24
E_tot, eV/cell: -37.40

Geometry as POSCAR:
```
ZrGaTe2
1.0
-3.5537 3.5537 6.1317
3.5537 -3.5537 6.1317
3.5537 3.5537 -6.1317
Zr Ga Te
2 2 4
Direct
0.0000 0.0000 0.0000
0.7500 0.2500 0.5000
0.2500 0.7500 0.5000
0.5000 0.5000 0.0000
0.0948 0.6250 0.9698
0.3750 0.3448 0.4698
0.6552 0.1250 0.0302
0.8750 0.9052 0.5302
```

---

## ZrGaTe2 (PBE)

Data for an optimized crystal structure of ZrGaTe2.

Summary:
Formation energy (no corrections), kJ/mol of atoms: -46.3
Magnetization, μB/atom: 0.00
E_tot, eV/cell: -19.78

Geometry as POSCAR:
```
ZrGaTe2
1.0
3.6134 0.0000 0.0000
0.0000 3.6134 0.0000
0.0000 0.0000 7.8717
Zr Ga Te
1 1 2
Direct
0.0000 0.0000 0.0000
0.0000 0.0000 0.5000
0.5000 0.5000 0.2172
0.5000 0.5000 0.7828
```

---

## Zr2GaTe4 (PBE)

Data for an optimized crystal structure of Zr2GaTe4.

Summary:
Formation energy (no corrections), kJ/mol of atoms: -69.8
Magnetization, μB/atom: 0.00
E_tot, eV/cell: -37.75

Geometry as POSCAR:
```
Zr2GaTe4
1.0
6.8832 0.0000 0.0000
0.0000 3.9816 0.0000
-0.1220 0.0000 8.1275
Zr Ga Te
2 1 4
Direct
0.0000 0.0000 0.0000
0.5000 0.5000 0.0000
0.0000 0.0000 0.5000
0.1708 0.5000 0.2256
0.3308 0.0000 0.7771
0.6692 0.0000 0.2229
0.8292 0.5000 0.7744
```

---

## ZrGa2Te4 (PBE)

Data for an optimized crystal structure of ZrGa2Te4.

Summary:
Formation energy (no corrections), kJ/mol of atoms: -15.4
Magnetization, μB/atom: 0.00
Energy relative to the lowest polymorph listed for this composition, eV/f.u.: 0.30
E_tot, eV/cell: -28.29

Geometry as POSCAR:
```
ZrGa2Te4
1.0
-2.8776 2.8776 6.9719
2.8776 -2.8776 6.9719
2.8776 2.8776 -6.9719
Zr Ga Te
1 2 4
Direct
0.0000 0.0000 0.0000
0.4005 0.4005 0.0000
0.5995 0.5995 0.0000
0.0000 0.5000 0.5000
0.2028 0.2028 0.0000
0.5000 0.0000 0.5000
0.7972 0.7972 0.0000
```

---

## Zr2Ga2Te (PBE)

Data for an optimized crystal structure of Zr2Ga2Te.

Summary:
Formation energy (no corrections), kJ/mol of atoms: -43.3
Magnetization, μB/atom: 0.00
Energy relative to the lowest polymorph listed for this composition, eV/f.u.: 0.00
E_tot, eV/cell: -57.07

Geometry as POSCAR:
```
Zr2Ga2Te
1.0
7.5101 0.0000 0.0000
0.0000 7.5101 0.0000
0.0000 0.0000 3.9203
Zr Ga Te
4 4 2
Direct
0.1732 0.3268 0.0000
0.3268 0.8268 0.0000
0.6732 0.1732 0.0000
0.8268 0.6732 0.0000
0.1232 0.6232 0.5000
0.3768 0.1232 0.5000
0.6232 0.8768 0.5000
0.8768 0.3768 0.5000
0.0000 0.0000 0.0000
0.5000 0.5000 0.0000
```

---

formation energy (no corrections) of number 5 (ZrGaTe2)? -46.3 kJ/mol of atoms